Entry a
Entry from Alexandria: Pd2RuPt after structural relaxation (PBE).

Results
Space-group type = I-42d (122)

abc: 7.0577 7.0577 5.6651
angles: 51.47 51.47 90.00
Closest atoms and distances in Å follow each position.
Fractional coordinates of all 8 atoms:
Pd  0.6141  0.1250  0.2500  2 Ru 2.53, 2 Pt 2.64, 2 Pd 2.69
Pt  0.7500  0.2500  0.5000  4 Pd 2.64, 2 Ru 2.68
Pt  0.0000  0.0000  0.0000  4 Pd 2.64, 2 Ru 2.68
Ru  0.5000  0.5000  0.0000  4 Pd 2.53, 2 Pt 2.68
Pd  0.3750  0.3859  0.7500  2 Ru 2.53, 2 Pt 2.64, 2 Pd 2.69
Pd  0.8750  0.8641  0.7500  2 Ru 2.53, 2 Pt 2.64, 2 Pd 2.69
Pd  0.1359  0.6250  0.2500  2 Ru 2.53, 2 Pt 2.64, 2 Pd 2.69
Ru  0.2500  0.7500  0.5000  4 Pd 2.53, 2 Pt 2.68

Entry b
Entry from Alexandria: Pd2RuPt after structural relaxation (PBE).

Results
Space-group type = P4/mmm (123)

abc: 3.9165 3.9152 3.9152
angles: 90.00 90.00 90.00
Closest atoms and distances in Å follow each position.
Fractional coordinates of all 4 atoms:
Pt  0.5000  0.0000  0.0000  4 Ru 2.77, 8 Pd 2.77
Ru  0.5000  0.5000  0.5000  4 Pt 2.77, 8 Pd 2.77
Pd  0.0000  0.0000  0.5000  4 Pd 2.77, 4 Ru 2.77, 4 Pt 2.77
Pd  0.0000  0.5000  0.0000  4 Pd 2.77, 4 Ru 2.77, 4 Pt 2.77

Last place for stability: entry a

Entry a
Entry from Alexandria: Pd2RuPt2 after structural relaxation (PBE).

Results
Space-group type = P4/mbm (127)

abc: 6.6712 6.6712 3.7444
angles: 90.00 90.00 90.00
Closest atoms and distances in Å follow each position.
Fractional coordinates of all 10 atoms:
Pt  0.8602  0.6398  0.0000  2 Ru 2.58, 1 Pt 2.64, 6 Pd 2.65-2.75
Pt  0.6398  0.1398  0.0000  2 Ru 2.58, 1 Pt 2.64, 6 Pd 2.65-2.75
Pd  0.6615  0.8385  0.5000  6 Pt 2.65-2.75
Pt  0.3602  0.8602  0.0000  2 Ru 2.58, 1 Pt 2.64, 6 Pd 2.65-2.75
Pd  0.8385  0.3385  0.5000  6 Pt 2.65-2.75
Ru  0.0000  0.0000  0.0000  4 Pt 2.58
Ru  0.5000  0.5000  0.0000  4 Pt 2.58
Pd  0.3385  0.1615  0.5000  6 Pt 2.65-2.75
Pd  0.1615  0.6615  0.5000  6 Pt 2.65-2.75
Pt  0.1398  0.3602  0.0000  2 Ru 2.58, 1 Pt 2.64, 6 Pd 2.65-2.75

Entry b
Entry from Alexandria: Pd2RuPt2 after structural relaxation (PBE).

Results
Space-group type = P4/mbm (127)

abc: 7.6351 7.6351 2.8069
angles: 90.00 90.00 90.00
Closest atoms and distances in Å follow each position.
Fractional coordinates of all 10 atoms:
Ru  0.0000  0.0000  0.0000  2 Ru 2.81, 4 Pd 3.01
Ru  0.5000  0.5000  0.0000  2 Ru 2.81, 4 Pd 3.01
Pd  0.6275  0.1275  0.0000  6 Pt 2.59-2.70, 3 Pd 2.75-2.81
Pt  0.6713  0.8287  0.5000  6 Pd 2.59-2.70, 2 Pt 2.81
Pt  0.3287  0.1713  0.5000  6 Pd 2.59-2.70, 2 Pt 2.81
Pd  0.8725  0.6275  0.0000  6 Pt 2.59-2.70, 3 Pd 2.75-2.81
Pd  0.1275  0.3725  0.0000  6 Pt 2.59-2.70, 3 Pd 2.75-2.81
Pd  0.3725  0.8725  0.0000  6 Pt 2.59-2.70, 3 Pd 2.75-2.81
Pt  0.8287  0.3287  0.5000  6 Pd 2.59-2.70, 2 Pt 2.81
Pt  0.1713  0.6713  0.5000  6 Pd 2.59-2.70, 2 Pt 2.81

Last place for stability: entry b

Entry a
Entry from Alexandria: Pd2RuPt2 after structural relaxation (PBE).

Results
Space-group type = I4/mmm (139)

abc: 3.5822 3.5822 7.0657
angles: 75.32 75.32 90.00
Closest atoms and distances in Å follow each position.
Fractional coordinates of all 5 atoms:
Ru  0.0000  0.0000  0.0000  8 Pt 2.83
Pt  0.4043  0.4043  0.1915  1 Pt 2.53, 4 Pd 2.71
Pd  0.2500  0.7500  0.5000  4 Pd 2.53, 4 Pt 2.71
Pt  0.5957  0.5957  0.8085  1 Pt 2.53, 4 Pd 2.71
Pd  0.7500  0.2500  0.5000  4 Pd 2.53, 4 Pt 2.71

Entry b
Entry from Alexandria: Pd2RuPt2 after structural relaxation (PBE).

Results
Space-group type = I4/mmm (139)

abc: 3.6334 3.6334 7.1355
angles: 75.25 75.25 90.00
Closest atoms and distances in Å follow each position.
Fractional coordinates of all 5 atoms:
Pt  0.7500  0.2500  0.5000  4 Pt 2.57, 4 Pd 2.73
Pd  0.4034  0.4034  0.1932  1 Pd 2.57, 4 Pt 2.73, 4 Ru 2.87
Pd  0.5966  0.5966  0.8068  1 Pd 2.57, 4 Pt 2.73, 4 Ru 2.87
Ru  0.0000  0.0000  0.0000  8 Pd 2.87
Pt  0.2500  0.7500  0.5000  4 Pt 2.57, 4 Pd 2.73

Entry c
Entry from Alexandria: Pd2RuPt2 after structural relaxation (PBE).

Results
Space-group type = R-3m (166)

abc: 2.7809 2.7809 11.4538
angles: 83.03 83.03 60.00
Closest atoms and distances in Å follow each position.
Fractional coordinates of all 5 atoms:
Pt  0.6024  0.6024  0.1927  3 Ru 2.71, 6 Pt 2.78, 3 Pd 2.84
Ru  0.0000  0.0000  0.0000  6 Pt 2.71, 6 Ru 2.78
Pt  0.3976  0.3976  0.8073  3 Ru 2.71, 6 Pt 2.78, 3 Pd 2.84
Pd  0.8669  0.8669  0.3992  9 Pd 2.78-2.79, 3 Pt 2.84
Pd  0.1331  0.1331  0.6008  9 Pd 2.78-2.79, 3 Pt 2.84

Last place for stability: entry b

Entry a
Entry from Alexandria: Zr2PdRuPt after structural relaxation (PBE).

Results
Space-group type = P4/mmm (123)

abc: 5.0300 4.7079 5.0300
angles: 90.00 90.00 90.00
Closest atoms and distances in Å follow each position.
Fractional coordinates of all 5 atoms:
Zr  0.5000  0.0000  0.0000  2 Pt 2.52
Ru  0.0000  0.5000  0.0000  2 Pt 2.35
Pd  0.5000  0.5000  0.5000  8 Zr 3.44, 4 Ru 3.56
Zr  0.0000  0.0000  0.5000  2 Pt 2.52
Pt  0.0000  0.0000  0.0000  2 Ru 2.35, 4 Zr 2.52

Entry b
Entry from Alexandria: Zr2PdRuPt after structural relaxation (PBE).

Results
Space-group type = P4/mmm (123)

abc: 4.9391 4.6435 4.9391
angles: 90.00 90.00 90.00
Closest atoms and distances in Å follow each position.
Fractional coordinates of all 5 atoms:
Pd  0.0000  0.0000  0.0000  2 Ru 2.32, 4 Zr 2.47
Zr  0.0000  0.0000  0.5000  2 Pd 2.47
Zr  0.5000  0.0000  0.0000  2 Pd 2.47
Pt  0.5000  0.5000  0.5000  8 Zr 3.39, 4 Ru 3.49
Ru  0.0000  0.5000  0.0000  2 Pd 2.32

Last place for stability: entry b

Entry a
Entry from Alexandria: Pd2PtS2 after structural relaxation (PBE).

Results
Space-group type = P4/mbm (127)

abc: 7.1066 7.1066 3.1010
angles: 90.00 90.00 90.00
Closest atoms and distances in Å follow each position.
Fractional coordinates of all 10 atoms:
Pt  0.0000  0.0000  0.0000  4 Pd 2.72
Pt  0.5000  0.5000  0.0000  4 Pd 2.72
S  0.1627  0.6627  0.5000  6 Pd 2.47-2.69
Pd  0.8538  0.6462  0.0000  6 S 2.47-2.69, 2 Pt 2.72
S  0.6627  0.8373  0.5000  6 Pd 2.47-2.69
Pd  0.1462  0.3538  0.0000  6 S 2.47-2.69, 2 Pt 2.72
Pd  0.6462  0.1462  0.0000  6 S 2.47-2.69, 2 Pt 2.72
Pd  0.3538  0.8538  0.0000  6 S 2.47-2.69, 2 Pt 2.72
S  0.8373  0.3373  0.5000  6 Pd 2.47-2.69
S  0.3373  0.1627  0.5000  6 Pd 2.47-2.69

Entry b
Entry from Alexandria: Pd2PtS2 after structural relaxation (PBE).

Results
Space-group type = I4/mmm (139)

abc: 3.5042 3.5042 7.0758
angles: 75.66 75.66 90.00
Closest atoms and distances in Å follow each position.
Fractional coordinates of all 5 atoms:
Pd  0.6042  0.6042  0.7916  4 S 2.61, 1 Pd 2.76, 4 Pt 2.84
S  0.7500  0.2500  0.5000  4 S 2.48, 4 Pd 2.61
Pd  0.3958  0.3958  0.2084  4 S 2.61, 1 Pd 2.76, 4 Pt 2.84
Pt  0.0000  0.0000  0.0000  8 Pd 2.84
S  0.2500  0.7500  0.5000  4 S 2.48, 4 Pd 2.61

Last place for stability: entry b